Entry 1:
Computed, not measured: crystalline CoPPt3 at its relaxed geometry at the PBE-GGA level of DFT.

POSCAR file:
```
CoPPt3
1.0
4.5485 0.0000 0.0000
0.0000 4.5485 0.0000
0.0000 0.0000 4.5485
Co P Pt
1 1 3
Direct
0.0000 0.0000 0.0000 Co
0.5000 0.5000 0.5000 P
0.0000 0.0000 0.5000 Pt
0.0000 0.5000 0.0000 Pt
0.5000 0.0000 0.0000 Pt
```

Fermi-level density of states = 1.049 states/eV per atom
E_form = 1.168 eV/atom

=====

Entry 2:
Computed, not measured: crystalline ErAs2Rh3 at its relaxed geometry at the PBE-GGA level of DFT.

POSCAR file:
```
ErAs2Rh3
1.0
8.2089 -1.9824 0.0000
8.2089 1.9824 0.0000
-2.9949 0.0000 9.3597
Er As Rh
3 6 9
Direct
0.0000 0.0000 0.0000 Er
0.1560 0.1560 0.6951 Er
0.8440 0.8440 0.3049 Er
0.1945 0.1945 0.1291 As
0.3625 0.3625 0.5450 As
0.4578 0.4578 0.2189 As
0.5422 0.5422 0.7811 As
0.6375 0.6375 0.4550 As
0.8055 0.8055 0.8709 As
0.0396 0.0396 0.3245 Rh
0.2195 0.2195 0.3917 Rh
0.3192 0.3192 0.0447 Rh
0.3800 0.3800 0.8010 Rh
0.5000 0.5000 0.5000 Rh
0.6200 0.6200 0.1990 Rh
0.6808 0.6808 0.9553 Rh
0.7805 0.7805 0.6083 Rh
0.9604 0.9604 0.6755 Rh
```

Fermi-level density of states = 0.394 states/eV per atom
E_form = -0.844 eV/atom

=====

Entry 3:
Computed, not measured: crystalline BaTeS2O8 at its relaxed geometry at the PBE-GGA level of DFT.

POSCAR file:
```
BaTeS2O8
1.0
5.7337 -2.7122 0.0000
5.7337 2.7122 0.0000
-3.4560 0.0000 5.9649
Ba Te S O
1 1 2 8
Direct
0.0000 0.0000 0.0000 Ba
0.5000 0.5000 0.5000 Te
0.2034 0.2034 0.6916 S
0.7966 0.7966 0.3084 S
0.0787 0.6376 0.2525 O
0.1627 0.1627 0.4538 O
0.3493 0.3493 0.8457 O
0.3624 0.9213 0.7475 O
0.6376 0.0787 0.2525 O
0.6507 0.6507 0.1543 O
0.8373 0.8373 0.5462 O
0.9213 0.3624 0.7475 O
```

Formation energy without anion corrections = -18.906 eV/f.u.
Fermi-level density of states = 0.000 states/eV per atom

=====

Entry 4:
Computed, not measured: crystalline YEr2Ag at its relaxed geometry at the PBE-GGA level of DFT.

POSCAR file:
```
YEr2Ag
1.0
1.8301 -6.3792 0.0000
1.8301 6.3792 0.0000
0.0000 0.0000 9.5613
Y Er Ag
2 4 2
Direct
0.0520 0.9480 0.7500 Y
0.9480 0.0520 0.2500 Y
0.3684 0.6316 0.5529 Er
0.3684 0.6316 0.9471 Er
0.6316 0.3684 0.0529 Er
0.6316 0.3684 0.4471 Er
0.2476 0.7524 0.2500 Ag
0.7524 0.2476 0.7500 Ag
```

Fermi-level density of states = 1.469 states/eV per atom
E_form = -0.134 eV/atom

=====

Entry 5:
Computed, not measured: crystalline Sc2ReHg at its relaxed geometry at the PBE-GGA level of DFT.

POSCAR file:
```
Sc2ReHg
1.0
1.5042 0.8684 10.3332
-1.5042 0.8684 10.3332
0.0000 -1.7369 10.3332
Sc Re Hg
2 1 1
Direct
0.0836 0.0836 0.0836 Sc
0.9164 0.9164 0.9164 Sc
0.0000 0.0000 0.0000 Re
0.5000 0.5000 0.5000 Hg
```

Fermi-level density of states = 1.596 states/eV per atom
E_form = 0.456 eV/atom

=====

Entry 6:
Computed, not measured: crystalline Tm3Sc at its relaxed geometry at the PBE-GGA level of DFT.

POSCAR file:
```
Tm3Sc
1.0
0.0000 3.8697 3.8697
3.8697 0.0000 3.8697
3.8697 3.8697 0.0000
Tm Sc
3 1
Direct
0.0000 0.0000 0.0000 Tm
0.2500 0.2500 0.2500 Tm
0.7500 0.7500 0.7500 Tm
0.5000 0.5000 0.5000 Sc
```

Fermi-level density of states = 2.413 states/eV per atom
E_form = 0.134 eV/atom

=====

Entry 7:
Computed, not measured: crystalline Ba2US6 at its relaxed geometry at the PBE-GGA level of DFT.

POSCAR file:
```
Ba2US6
1.0
5.4659 0.0000 0.0000
0.0000 5.4659 0.0000
0.0000 0.0000 15.9346
Ba U S
4 2 12
Direct
0.2500 0.7500 0.1164 Ba
0.2500 0.7500 0.3836 Ba
0.7500 0.2500 0.6164 Ba
0.7500 0.2500 0.8836 Ba
0.2500 0.7500 0.7500 U
0.7500 0.2500 0.2500 U
0.0591 0.7500 0.5860 S
0.2500 0.2500 0.2305 S
0.2500 0.2500 0.7305 S
0.2500 0.5591 0.9140 S
0.2500 0.9409 0.9140 S
0.4409 0.7500 0.5860 S
0.5591 0.2500 0.4140 S
0.7500 0.0591 0.0860 S
0.7500 0.4409 0.0860 S
0.7500 0.7500 0.2695 S
0.7500 0.7500 0.7695 S
0.9409 0.2500 0.4140 S
```

Formation energy without anion corrections = -13.014 eV/f.u.
Fermi-level density of states = 0.903 states/eV per atom

=====

Entry 8:
Computed, not measured: crystalline AcTbEu at its relaxed geometry at the PBE-GGA level of DFT.

POSCAR file:
```
AcTbEu
1.0
3.8228 0.0000 0.0000
-1.9114 3.3106 0.0000
0.0000 0.0000 9.2702
Ac Tb Eu
1 1 1
Direct
0.0000 0.0000 0.0000 Ac
0.6667 0.3333 0.3195 Tb
0.3333 0.6667 0.6442 Eu
```

Fermi-level density of states = 1.239 states/eV per atom
E_form = 0.053 eV/atom

=====

Entry 9:
Computed, not measured: crystalline LiTlGe2 at its relaxed geometry at the PBE-GGA level of DFT.

POSCAR file:
```
LiTlGe2
1.0
0.0000 3.5169 3.5169
3.5169 0.0000 3.5169
3.5169 3.5169 0.0000
Li Tl Ge
1 1 2
Direct
0.0000 0.0000 0.0000 Li
0.5000 0.5000 0.5000 Tl
0.2500 0.2500 0.2500 Ge
0.7500 0.7500 0.7500 Ge
```

Fermi-level density of states = 0.450 states/eV per atom
E_form = 0.170 eV/atom

=====

Entry 10:
Computed, not measured: crystalline HfSnH3 at its relaxed geometry at the PBE-GGA level of DFT.

POSCAR file:
```
HfSnH3
1.0
3.8528 0.0000 0.0000
0.0000 3.8528 0.0000
0.0000 0.0000 3.8528
Hf Sn H
1 1 3
Direct
0.0000 0.0000 0.0000 Hf
0.5000 0.5000 0.5000 Sn
0.0000 0.0000 0.5000 H
0.0000 0.5000 0.0000 H
0.5000 0.0000 0.0000 H
```

Fermi-level density of states = 0.343 states/eV per atom
Uncorrected energy = -0.351 Ry/atom

=====

Entry 11:
Computed, not measured: crystalline SmGa3Cu3 at its relaxed geometry at the PBE-GGA level of DFT.

POSCAR file:
```
SmGa3Cu3
1.0
6.8508 0.0000 0.0000
0.0000 4.2590 0.0000
-2.8489 0.0000 8.0042
Sm Ga Cu
2 6 6
Direct
0.1119 0.2500 0.3567 Sm
0.8881 0.7500 0.6433 Sm
0.0306 0.2500 0.9212 Ga
0.3246 0.7500 0.6106 Ga
0.3932 0.7500 0.2992 Ga
0.6068 0.2500 0.7008 Ga
0.6754 0.2500 0.3894 Ga
0.9694 0.7500 0.0788 Ga
0.2689 0.7500 0.9627 Cu
0.2912 0.2500 0.7784 Cu
0.4141 0.2500 0.1127 Cu
0.5859 0.7500 0.8873 Cu
0.7088 0.7500 0.2216 Cu
0.7311 0.2500 0.0373 Cu
```

Fermi-level density of states = 0.318 states/eV per atom
E_form = -0.290 eV/atom

=====

Entry 12:
Computed, not measured: crystalline LaTlCo2 at its relaxed geometry at the PBE-GGA level of DFT.

POSCAR file:
```
LaTlCo2
1.0
-2.2712 2.2712 8.2288
2.2712 -2.2712 8.2288
2.2712 2.2712 -8.2288
La Tl Co
2 2 4
Direct
0.0000 0.0000 0.0000 La
0.7500 0.2500 0.5000 La
0.2500 0.7500 0.5000 Tl
0.5000 0.5000 0.0000 Tl
0.0754 0.6250 0.9504 Co
0.3750 0.3254 0.4504 Co
0.6746 0.1250 0.0496 Co
0.8750 0.9246 0.5496 Co
```

Fermi-level density of states = 0.839 states/eV per atom
E_form = 0.573 eV/atom

=====

Entry 13:
Computed, not measured: crystalline KMgTcGe2 at its relaxed geometry at the PBE-GGA level of DFT.

POSCAR file:
```
KMgTcGe2
1.0
4.8465 0.0000 0.0000
0.0000 4.8465 0.0000
0.0000 0.0000 5.1914
K Mg Tc Ge
1 1 1 2
Direct
0.0000 0.0000 0.0000 K
0.5000 0.5000 0.0000 Mg
0.5000 0.5000 0.5000 Tc
0.0000 0.5000 0.5000 Ge
0.5000 0.0000 0.5000 Ge
```

Fermi-level density of states = 0.187 states/eV per atom
E_form = -0.062 eV/atom

=====

Entry 14:
Computed, not measured: crystalline Na2YZrTe4 at its relaxed geometry at the PBE-GGA level of DFT.

POSCAR file:
```
Na2YZrTe4
1.0
7.4169 0.0000 0.0000
0.0000 4.2423 0.0000
-2.4406 0.0000 7.6932
Na Y Zr Te
2 1 1 4
Direct
0.0000 0.0000 0.0000 Na
0.5000 0.5000 0.0000 Na
0.0000 0.5000 0.5000 Y
0.5000 0.0000 0.5000 Zr
0.2545 0.0000 0.7320 Te
0.2673 0.5000 0.2734 Te
0.7327 0.5000 0.7266 Te
0.7455 0.0000 0.2680 Te
```

Formation energy without anion corrections = -8.770 eV/f.u.
Fermi-level density of states = 0.411 states/eV per atom

=====

Entry 15:
Computed, not measured: crystalline K2RbF3 at its relaxed geometry at the PBE-GGA level of DFT.

POSCAR file:
```
K2RbF3
1.0
3.3810 -5.8561 0.0000
3.3810 5.8561 0.0000
-2.2573 0.0000 6.3739
K Rb F
4 2 6
Direct
0.0000 0.0000 0.0000 K
0.1661 0.8339 0.5000 K
0.5000 0.5000 0.5000 K
0.8339 0.1661 0.5000 K
0.3332 0.6668 0.0000 Rb
0.6668 0.3332 0.0000 Rb
0.0862 0.4110 0.2592 F
0.2391 0.2391 0.7431 F
0.4110 0.0862 0.2592 F
0.5890 0.9138 0.7408 F
0.7609 0.7609 0.2569 F
0.9138 0.5890 0.7408 F
```

Formation energy without anion corrections = -16.219 eV/f.u.
Fermi-level density of states = 0.000 states/eV per atom

=====

Entry 16:
Computed, not measured: crystalline PrDyCd17 at its relaxed geometry at the PBE-GGA level of DFT.

POSCAR file:
```
PrDyCd17
1.0
5.0419 2.9110 4.9961
-5.0419 2.9110 4.9961
0.0000 -5.8219 4.9961
Pr Dy Cd
1 1 17
Direct
0.0000 0.0000 0.0000 Pr
0.6578 0.6578 0.6578 Dy
0.0284 0.3347 0.6325 Cd
0.0284 0.6325 0.3347 Cd
0.2057 0.6785 0.6785 Cd
0.2395 0.2395 0.2395 Cd
0.3116 0.3116 0.8554 Cd
0.3116 0.8554 0.3116 Cd
0.3347 0.0284 0.6325 Cd
0.3347 0.6325 0.0284 Cd
0.4366 0.4366 0.4366 Cd
0.5368 0.9559 0.9559 Cd
0.6325 0.0284 0.3347 Cd
0.6325 0.3347 0.0284 Cd
0.6785 0.2057 0.6785 Cd
0.6785 0.6785 0.2057 Cd
0.8554 0.3116 0.3116 Cd
0.9559 0.5368 0.9559 Cd
0.9559 0.9559 0.5368 Cd
```

Fermi-level density of states = 0.261 states/eV per atom
E_form = -0.135 eV/atom

=====

Entry 17:
Computed, not measured: crystalline K2Na5Au at its relaxed geometry at the PBE-GGA level of DFT.

POSCAR file:
```
K2Na5Au
1.0
4.8588 -4.8556 0.0000
4.8588 4.8556 0.0000
-4.8417 0.0000 7.3207
K Na Au
2 5 1
Direct
0.2500 0.7500 0.0000 K
0.7500 0.2500 0.0000 K
0.1417 0.1417 0.7835 Na
0.2314 0.2314 0.4471 Na
0.2308 0.7155 0.4466 Na
0.7155 0.2308 0.4466 Na
0.7155 0.7155 0.4472 Na
0.3429 0.3429 0.1855 Au
```

Fermi-level density of states = 0.398 states/eV per atom
E_form = -0.051 eV/atom

=====

Entry 18:
Computed, not measured: crystalline TlCNF2 at its relaxed geometry at the PBE-GGA level of DFT.

POSCAR file:
```
TlCNF2
1.0
4.4649 0.0000 0.0000
0.0000 4.4649 0.0000
0.0000 0.0000 4.4318
Tl C N F
1 1 1 2
Direct
0.0000 0.0000 0.0000 Tl
0.5000 0.5000 0.5000 C
0.0000 0.0000 0.5000 N
0.0000 0.5000 0.0000 F
0.5000 0.0000 0.0000 F
```

Formation energy without anion corrections = 6.372 eV/f.u.
Fermi-level density of states = 0.270 states/eV per atom

=====

Entry 19:
Computed, not measured: crystalline SmHo2Tl3 at its relaxed geometry at the PBE-GGA level of DFT.

POSCAR file:
```
SmHo2Tl3
1.0
3.7693 0.0000 0.0000
0.0000 3.7693 0.0000
0.0000 0.0000 11.6516
Sm Ho Tl
1 2 3
Direct
0.0000 0.0000 0.0000 Sm
0.0000 0.0000 0.3369 Ho
0.0000 0.0000 0.6631 Ho
0.5000 0.5000 0.1744 Tl
0.5000 0.5000 0.5000 Tl
0.5000 0.5000 0.8256 Tl
```

Fermi-level density of states = 0.720 states/eV per atom
E_form = -0.348 eV/atom

=====

Entry 20:
Computed, not measured: crystalline NdSi4Pd12 at its relaxed geometry at the PBE-GGA level of DFT.

POSCAR file:
```
NdSi4Pd12
1.0
-4.1993 4.1993 4.1993
4.1993 -4.1993 4.1993
4.1993 4.1993 -4.1993
Nd Si Pd
1 4 12
Direct
0.0000 0.0000 0.0000 Nd
0.0000 0.0000 0.5000 Si
0.0000 0.5000 0.0000 Si
0.5000 0.0000 0.0000 Si
0.5000 0.5000 0.5000 Si
0.1666 0.3399 0.5064 Pd
0.1666 0.6601 0.8267 Pd
0.1733 0.8334 0.3399 Pd
0.3399 0.1733 0.8334 Pd
0.3399 0.5064 0.1666 Pd
0.4936 0.8334 0.6601 Pd
0.5064 0.1666 0.3399 Pd
0.6601 0.4936 0.8334 Pd
0.6601 0.8267 0.1666 Pd
0.8267 0.1666 0.6601 Pd
0.8334 0.3399 0.1733 Pd
0.8334 0.6601 0.4936 Pd
```

Formation energy without anion corrections = -7.812 eV/f.u.
Fermi-level density of states = 0.345 states/eV per atom